Entry 1:
Material: CeErMgTc
Method: DFT, GGA-PBE
State: optimized geometry

```
CeErMgTc
1.0
3.3846 0.0000 0.0000
0.0000 3.3846 0.0000
0.0000 0.0000 8.5154
Ce Er Mg Tc
1 1 1 1
Cartesian
0.0000 0.0000 0.0000 Ce
0.0000 0.0000 3.3716 Er
1.6923 1.6923 5.8953 Mg
1.6923 1.6923 1.6204 Tc
```

Output
Polymorph energy (0 for the lowest one) in meV/atom: 0
Density of states at the Fermi level in states/eV/f.u.: 5.1
Energy in eV per cell: -22.84


Entry 2:
Material: CeErThMg
Method: DFT, GGA-PBE
State: optimized geometry

```
CeErThMg
1.0
0.0000 3.8823 3.8823
3.8823 0.0000 3.8823
3.8823 3.8823 0.0000
Ce Er Th Mg
1 1 1 1
Cartesian
0.0000 0.0000 0.0000 Ce
3.8823 3.8823 3.8823 Er
1.9411 1.9411 1.9411 Th
5.8234 5.8234 5.8234 Mg
```

Output
Density of states at the Fermi level in states/eV/f.u.: 8.8
Energy in eV per cell: -18.79


Entry 3:
Material: CeErMg2Tl4
Method: DFT, GGA-PBE
State: optimized geometry

```
CeErMg2Tl4
1.0
2.6284 1.5175 8.7590
-2.6284 1.5175 8.7590
0.0000 -3.0350 8.7590
Ce Er Mg Tl
1 1 2 4
Cartesian
0.0000 0.0000 0.0000 Ce
0.0000 0.0000 13.1385 Er
0.0000 0.0000 6.5604 Mg
0.0000 0.0000 19.7165 Mg
0.0000 0.0000 3.3239 Tl
0.0000 0.0000 9.9398 Tl
0.0000 0.0000 16.3371 Tl
0.0000 0.0000 22.9530 Tl
```

Output
Density of states at the Fermi level in states/eV/f.u.: 8.3
Energy in eV per cell: -24.76


Entry 4:
Material: Ce2ErMgTl4
Method: DFT, GGA-PBE
State: optimized geometry

```
Ce2ErMgTl4
1.0
2.6638 1.5379 8.9939
-2.6638 1.5379 8.9939
0.0000 -3.0759 8.9939
Ce Er Mg Tl
2 1 1 4
Cartesian
0.0000 0.0000 6.5647 Ce
0.0000 0.0000 20.4170 Ce
0.0000 0.0000 0.0000 Er
0.0000 0.0000 13.4909 Mg
0.0000 0.0000 3.3312 Tl
0.0000 0.0000 10.0944 Tl
0.0000 0.0000 16.8873 Tl
0.0000 0.0000 23.6505 Tl
```

Output
Density of states at the Fermi level in states/eV/f.u.: 14.8
Energy in eV per cell: -29.45


Entry 5:
Material: CeErMgTl
Method: DFT, GGA-PBE
State: optimized geometry

```
CeErMgTl
1.0
0.0000 3.8136 3.8136
3.8136 0.0000 3.8136
3.8136 3.8136 0.0000
Ce Er Mg Tl
1 1 1 1
Cartesian
0.0000 0.0000 0.0000 Ce
3.8136 3.8136 3.8136 Er
5.7203 5.7203 5.7203 Mg
1.9068 1.9068 1.9068 Tl
```

Output
Density of states at the Fermi level in states/eV/f.u.: 10.6
Energy in eV per cell: -15.02


Entry 6:
Material: CeErTmMg
Method: DFT, GGA-PBE
State: optimized geometry

```
CeErTmMg
1.0
0.0000 3.8604 3.8604
3.8604 0.0000 3.8604
3.8604 3.8604 0.0000
Ce Er Tm Mg
1 1 1 1
Cartesian
0.0000 0.0000 0.0000 Ce
3.8604 3.8604 3.8604 Er
5.7905 5.7905 5.7905 Tm
1.9302 1.9302 1.9302 Mg
```

Output
Density of states at the Fermi level in states/eV/f.u.: 6.9
Energy in eV per cell: -16.23